No. 1
Computed, not measured: a relaxed structure of Si2HPt at the GGA-PBEsol level of DFT.

a b c (Å): 5.7685 5.7685 5.7685
angles (deg): 90.00 90.00 90.00
Space group Fm-3m (No. 225)
Unique sites:
1 Si 0.2500 0.2500 0.2500 (multiplicity 8)
2 H 0.0000 0.0000 0.0000 (multiplicity 4)
3 Pt 0.0000 0.0000 0.5000 (multiplicity 4)

Summary:
Crystal system ... cubic
Total energy ... -5.4184 eV per atom
Total magnetization ... 0.00 μB/f.u.

No. 2
Computed, not measured: a relaxed structure of SnH2Pt at the GGA-PBEsol level of DFT.

a b c (Å): 5.6580 5.6580 5.6580
angles (deg): 90.00 90.00 90.00
Space group Fm-3m (No. 225)
Unique sites:
1 Sn 0.0000 0.0000 0.0000 (multiplicity 4)
2 H 0.2500 0.2500 0.2500 (multiplicity 8)
3 Pt 0.0000 0.0000 0.5000 (multiplicity 4)

Summary:
Crystal system ... cubic
Total energy ... -3.8260 eV per atom
Total magnetization ... 0.00 μB/f.u.

No. 3
Computed, not measured: a relaxed structure of SrH2Pt at the GGA-PBEsol level of DFT.

a b c (Å): 5.9683 5.9683 5.9683
angles (deg): 90.00 90.00 90.00
Space group Fm-3m (No. 225)
Unique sites:
1 Sr 0.0000 0.0000 0.0000 (multiplicity 4)
2 H 0.2500 0.2500 0.2500 (multiplicity 8)
3 Pt 0.0000 0.0000 0.5000 (multiplicity 4)

Summary:
Crystal system ... cubic
Total energy ... -3.7698 eV per atom
Total magnetization ... 0.00 μB/f.u.

No. 4
Computed, not measured: a relaxed structure of SrHPt2 at the GGA-PBEsol level of DFT.

a b c (Å): 6.4931 6.4931 6.4931
angles (deg): 90.00 90.00 90.00
Space group Fm-3m (No. 225)
Unique sites:
1 Sr 0.0000 0.0000 0.0000 (multiplicity 4)
2 H 0.0000 0.0000 0.5000 (multiplicity 4)
3 Pt 0.2500 0.2500 0.2500 (multiplicity 8)

Summary:
Crystal system ... cubic
Total energy ... -4.1786 eV per atom
Total magnetization ... 0.00 μB/f.u.

No. 5
Computed, not measured: a relaxed structure of Sr2HPt at the GGA-PBEsol level of DFT.

a b c (Å): 7.1326 7.1326 7.1326
angles (deg): 90.00 90.00 90.00
Space group Fm-3m (No. 225)
Unique sites:
1 Sr 0.2500 0.2500 0.2500 (multiplicity 8)
2 H 0.0000 0.0000 0.0000 (multiplicity 4)
3 Pt 0.0000 0.0000 0.5000 (multiplicity 4)

Summary:
Crystal system ... cubic
Total energy ... -3.8652 eV per atom
Total magnetization ... 0.00 μB/f.u.

No. 6
Computed, not measured: a relaxed structure of TlTeHPt2 at the GGA-PBEsol level of DFT.

a b c (Å): 5.0663 5.0663 5.5385
angles (deg): 90.00 90.00 90.00
Space group P4/mmm (No. 123)
Unique sites:
1 Tl 0.0000 0.0000 0.0000 (multiplicity 1)
2 Te 0.0000 0.0000 0.5000 (multiplicity 1)
3 H 0.5000 0.5000 0.5000 (multiplicity 1)
4 Pt 0.0000 0.5000 0.0000 (multiplicity 2)

Summary:
Crystal system ... tetragonal
Total energy ... -2.9198 eV per atom
Total magnetization ... 0.95 μB/f.u.

No. 7
Computed, not measured: a relaxed structure of Ti3HPt at the GGA-PBEsol level of DFT.

a b c (Å): 3.9923 3.9923 3.9923
angles (deg): 90.00 90.00 90.00
Space group Pm-3m (No. 221)
Unique sites:
1 Ti 0.0000 0.0000 0.5000 (multiplicity 3)
2 H 0.0000 0.0000 0.0000 (multiplicity 1)
3 Pt 0.5000 0.5000 0.5000 (multiplicity 1)

Summary:
Crystal system ... cubic
Total energy ... -7.6088 eV per atom
Total magnetization ... 0.00 μB/f.u.

No. 8
Computed, not measured: a relaxed structure of TiHPt3 at the GGA-PBEsol level of DFT.

a b c (Å): 3.9709 3.9709 3.9709
angles (deg): 90.00 90.00 90.00
Space group Pm-3m (No. 221)
Unique sites:
1 Ti 0.0000 0.0000 0.0000 (multiplicity 1)
2 H 0.5000 0.5000 0.5000 (multiplicity 1)
3 Pt 0.0000 0.5000 0.5000 (multiplicity 3)

Summary:
Crystal system ... cubic
Total energy ... -6.9549 eV per atom
Total magnetization ... 0.98 μB/f.u.

No. 9
Computed, not measured: a relaxed structure of TlH2Pt at the GGA-PBEsol level of DFT.

a b c (Å): 5.8917 5.8917 6.0683
angles (deg): 90.00 90.00 90.00
Space group I-42d (No. 122)
Unique sites:
1 Tl 0.0000 0.0000 0.0000 (multiplicity 4)
2 H 0.0832 0.7500 0.6250 (multiplicity 8)
3 Pt 0.0000 0.0000 0.5000 (multiplicity 4)

Summary:
Crystal system ... tetragonal
Total energy ... -3.9678 eV per atom
Total magnetization ... 0.00 μB/f.u.

No. 10
Computed, not measured: a relaxed structure of TlHPt2 at the GGA-PBEsol level of DFT.

a b c (Å): 5.4391 5.4391 8.2508
angles (deg): 90.00 90.00 90.00
Space group I-42d (No. 122)
Unique sites:
1 Tl 0.0000 0.0000 0.0000 (multiplicity 4)
2 H 0.0000 0.0000 0.5000 (multiplicity 4)
3 Pt 0.0692 0.2500 0.6250 (multiplicity 8)

Summary:
Crystal system ... tetragonal
Total energy ... -4.8976 eV per atom
Total magnetization ... 0.00 μB/f.u.

No. 11
Computed, not measured: a relaxed structure of HPtW3 at the GGA-PBEsol level of DFT.

a b c (Å): 3.9840 3.9840 3.9840
angles (deg): 90.00 90.00 90.00
Space group Pm-3m (No. 221)
Unique sites:
1 H 0.0000 0.0000 0.0000 (multiplicity 1)
2 Pt 0.5000 0.5000 0.5000 (multiplicity 1)
3 W 0.0000 0.0000 0.5000 (multiplicity 3)

Summary:
Crystal system ... cubic
Total energy ... -10.3475 eV per atom
Total magnetization ... 0.00 μB/f.u.

No. 12
Computed, not measured: a relaxed structure of Y3HPt at the GGA-PBEsol level of DFT.

a b c (Å): 4.6075 4.6075 4.6075
angles (deg): 90.00 90.00 90.00
Space group Pm-3m (No. 221)
Unique sites:
1 Y 0.0000 0.0000 0.5000 (multiplicity 3)
2 H 0.0000 0.0000 0.0000 (multiplicity 1)
3 Pt 0.5000 0.5000 0.5000 (multiplicity 1)

Summary:
Crystal system ... cubic
Total energy ... -6.5791 eV per atom
Total magnetization ... 0.01 μB/f.u.

No. 13
Computed, not measured: a relaxed structure of Y2H2Pt at the GGA-PBEsol level of DFT.

a b c (Å): 3.4762 3.4762 12.3165
angles (deg): 90.00 90.00 90.00
Space group I4/mmm (No. 139)
Unique sites:
1 Y 0.0000 0.0000 0.1388 (multiplicity 4)
2 H 0.0000 0.5000 0.2500 (multiplicity 4)
3 Pt 0.0000 0.0000 0.5000 (multiplicity 2)

Summary:
Crystal system ... tetragonal
Total energy ... -6.3480 eV per atom
Total magnetization ... 0.00 μB/f.u.

No. 14
Computed, not measured: a relaxed structure of ZrH2Pt2 at the GGA-PBEsol level of DFT.

a b c (Å): 3.6186 3.6186 8.5872
angles (deg): 90.00 90.00 90.00
Space group I4/mmm (No. 139)
Unique sites:
1 Zr 0.0000 0.0000 0.0000 (multiplicity 2)
2 H 0.0000 0.5000 0.2500 (multiplicity 4)
3 Pt 0.0000 0.0000 0.3377 (multiplicity 4)

Summary:
Crystal system ... tetragonal
Total energy ... -6.4229 eV per atom
Total magnetization ... 0.00 μB/f.u.

No. 15
Computed, not measured: a relaxed structure of Zr3HPt at the GGA-PBEsol level of DFT.

a b c (Å): 4.3045 4.3045 4.3045
angles (deg): 90.00 90.00 90.00
Space group Pm-3m (No. 221)
Unique sites:
1 Zr 0.0000 0.0000 0.5000 (multiplicity 3)
2 H 0.0000 0.0000 0.0000 (multiplicity 1)
3 Pt 0.5000 0.5000 0.5000 (multiplicity 1)

Summary:
Crystal system ... cubic
Total energy ... -8.0104 eV per atom
Total magnetization ... 0.00 μB/f.u.